(1)
Here is a relaxed structure of Cs2RbBi2Pb from Alexandria via LeMat-Bulk. Energies are from PBE.

Computed properties:
DOS at the Fermi energy: 7.171 states/eV per cell
space-group type: No. 72
formation energy: -0.3182 eV per atom

Unit cell a=7.9415 b=8.8295 c=10.6504 alpha=114.49 beta=111.89 gamma=90.00
Closest atoms and distances in Å follow each position.
Fractional coordinates of all 12 atoms:
Bi1 0.6022 0.4008 0.2045  2 Pb 3.22
Cs1 0.6741 0.8911 0.3481  4 Bi 3.91-4.17, 2 Pb 4.13
Pb1 0.2500 0.5000 0.0000  4 Bi 3.22
Pb2 0.7500 0.5000 0.0000  4 Bi 3.22
Rb1 0.2500 0.0000 0.0000  4 Bi 3.76, 2 Rb 3.97
Cs2 0.8259 0.5430 0.6519  4 Bi 3.91-4.17, 2 Pb 4.13
Cs3 0.3259 0.1089 0.6519  4 Bi 3.91-4.17, 2 Pb 4.13
Rb2 0.7500 0.0000 0.0000  4 Bi 3.76, 2 Rb 3.97
Bi2 0.1022 0.8037 0.2045  2 Pb 3.22
Bi3 0.3978 0.5992 0.7955  2 Pb 3.22
Cs4 0.1741 0.4570 0.3481  4 Bi 3.91-4.17, 2 Pb 4.13
Bi4 0.8978 0.1963 0.7955  2 Pb 3.22

(2)
Here is a relaxed structure of CsBiPbS3 from Alexandria via LeMat-Bulk. Energies are from PBE.

Computed properties:
space-group type: No. 11
formation energy (no corrections): -0.657 eV per atom

Unit cell a=4.1577 b=14.1123 c=8.6863 alpha=110.54 beta=90.00 gamma=90.00
Closest atoms and distances in Å follow each position.
Fractional coordinates of all 12 atoms:
Cs1 0.2500 0.3442 0.3468  6 S 3.36-3.75
S1 0.2500 0.7785 0.4625  2 Pb 2.73, 1 Bi 2.98
Pb1 0.2500 0.1256 0.6260  3 S 2.66-2.73
Bi1 0.7500 0.3765 0.8753  6 S 2.78-2.98
S2 0.2500 0.2566 0.9336  1 Pb 2.66, 2 Bi 2.84
Pb2 0.7500 0.8744 0.3740  3 S 2.66-2.73
S3 0.7500 0.7434 0.0664  1 Pb 2.66, 2 Bi 2.84
S4 0.2500 0.4957 0.7980  3 Bi 2.78-2.90
S5 0.7500 0.5043 0.2020  3 Bi 2.78-2.90
Cs2 0.7500 0.6558 0.6532  6 S 3.36-3.75
S6 0.7500 0.2215 0.5375  2 Pb 2.73, 1 Bi 2.98
Bi2 0.2500 0.6235 0.1247  6 S 2.78-2.98

(3)
Here is a relaxed structure of CsBiSb2Pb from Alexandria via LeMat-Bulk. Energies are from PBE.

Computed properties:
DOS at the Fermi energy: 2.541 states/eV per cell
space-group type: No. 11
formation energy (no corrections): -0.149 eV per atom

Unit cell a=4.6152 b=9.5129 c=10.0562 alpha=112.28 beta=90.00 gamma=90.00
Closest atoms and distances in Å follow each position.
Fractional coordinates of all 10 atoms:
Cs1 0.2500 0.2047 0.1662  4 Sb 3.69-3.98
Sb1 0.2500 0.0879 0.7435  1 Bi 3.07, 3 Pb 3.11-3.26
Pb1 0.7500 0.1721 0.5800  3 Sb 3.11-3.26
Bi1 0.2500 0.4367 0.8777  2 Sb 3.07-3.26, 2 Bi 3.25
Pb2 0.2500 0.8279 0.4200  3 Sb 3.11-3.26
Sb2 0.2500 0.4381 0.5541  2 Sb 2.98, 1 Bi 3.26
Sb3 0.7500 0.5619 0.4459  2 Sb 2.98, 1 Bi 3.26
Bi2 0.7500 0.5633 0.1223  2 Sb 3.07-3.26, 2 Bi 3.25
Cs2 0.7500 0.7953 0.8338  4 Sb 3.69-3.98
Sb4 0.7500 0.9121 0.2565  1 Bi 3.07, 3 Pb 3.11-3.26

(4)
Here is a relaxed structure of Cs2Bi2Sb2Pb5 from Alexandria via LeMat-Bulk. Energies are from PBE.

Computed properties:
DOS at the Fermi energy: 5.445 states/eV per cell
space-group type: No. 139
formation energy (no corrections): 0.011 eV per atom

Unit cell a=5.4751 b=5.4751 c=18.7447 alpha=98.40 beta=98.40 gamma=90.00
Closest atoms and distances in Å follow each position.
Fractional coordinates of all 11 atoms:
Bi1 0.6764 0.6764 0.3529  4 Pb 3.32
Pb1 0.8748 0.3748 0.7495  2 Sb 3.16, 2 Bi 3.32
Cs1 0.2106 0.2106 0.4212  5 Bi 4.07-4.14, 4 Pb 4.16
Pb2 0.3748 0.8748 0.7495  2 Sb 3.16, 2 Bi 3.32
Sb1 0.0824 0.0824 0.1648  5 Pb 3.02-3.16
Pb3 0.0000 0.0000 0.0000  2 Sb 3.02
Pb4 0.1252 0.6252 0.2505  2 Sb 3.16, 2 Bi 3.32
Sb2 0.9176 0.9176 0.8352  5 Pb 3.02-3.16
Bi2 0.3236 0.3236 0.6471  4 Pb 3.32
Cs2 0.7894 0.7894 0.5788  5 Bi 4.07-4.14, 4 Pb 4.16
Pb5 0.6252 0.1252 0.2505  2 Sb 3.16, 2 Bi 3.32

(5)
Here is a relaxed structure of CsBi2SbPb from Alexandria via LeMat-Bulk. Energies are from PBE.

Computed properties:
DOS at the Fermi energy: 2.428 states/eV per cell
space-group type: No. 119
formation energy (no corrections): -0.169 eV per atom

Unit cell a=5.7282 b=5.7282 c=7.4830 alpha=112.50 beta=112.50 gamma=90.00
Closest atoms and distances in Å follow each position.
Fractional coordinates of all 5 atoms:
Pb1 0.7500 0.2500 0.5000  4 Bi 3.22
Bi1 0.6327 0.6327 0.2653  2 Pb 3.22, 2 Sb 3.22, 1 Bi 3.34
Bi2 0.3673 0.3673 0.7346  2 Sb 3.22, 2 Pb 3.22, 1 Bi 3.34
Cs1 0.0000 0.0000 0.0000  4 Sb 4.25, 4 Pb 4.25, 10 Bi 4.38-4.62
Sb1 0.2500 0.7500 0.5000  4 Bi 3.22

(6)
Here is a relaxed structure of Cs2BiSb3Pb4 from Alexandria via LeMat-Bulk. Energies are from PBE.

Computed properties:
DOS at the Fermi energy: 5.218 states/eV per cell
space-group type: No. 115
formation energy (no corrections): -0.187 eV per atom

Unit cell a=5.4581 b=5.4581 c=13.5775 alpha=90.00 beta=90.00 gamma=90.00
Closest atoms and distances in Å follow each position.
Fractional coordinates of all 10 atoms:
Pb1 0.5000 0.5000 0.0000  4 Sb 3.23
Sb1 0.5000 0.0000 0.8734  5 Pb 3.23-3.39
Sb2 0.0000 0.0000 0.5000  4 Pb 3.21
Sb3 0.0000 0.5000 0.1266  5 Pb 3.23-3.39
Pb2 0.5000 0.0000 0.6241  3 Sb 3.21-3.39, 2 Bi 3.21
Pb3 0.0000 0.0000 0.0000  4 Sb 3.23
Pb4 0.0000 0.5000 0.3759  2 Bi 3.21, 3 Sb 3.21-3.39
Cs1 0.0000 0.5000 0.7418  8 Pb 4.18-4.44, 6 Sb 4.25-4.27, 2 Bi 4.27
Cs2 0.5000 0.0000 0.2582  8 Pb 4.18-4.44, 6 Sb 4.25-4.27, 2 Bi 4.27
Bi1 0.5000 0.5000 0.5000  4 Pb 3.21

(7)
Here is a relaxed structure of Cs3Bi2PbSe6 from Alexandria via LeMat-Bulk. Energies are from PBE.

Computed properties:
DOS at the Fermi energy: 5.769 states/eV per cell
space-group type: No. 12
formation energy (no corrections): -0.733 eV per atom

Unit cell a=7.6113 b=7.6113 c=8.7907 alpha=98.29 beta=98.29 gamma=119.99
Closest atoms and distances in Å follow each position.
Fractional coordinates of all 12 atoms:
Se1 0.4015 0.0643 0.1931  2 Bi 3.00, 1 Pb 3.04
Bi1 0.3332 0.6668 0.0000  6 Se 3.00
Cs1 0.5000 0.5000 0.5000  6 Se 3.60-3.63
Cs2 0.8340 0.1660 0.5000  6 Se 3.61-3.63
Se2 0.7272 0.7272 0.1930  2 Bi 3.00, 1 Pb 3.04
Cs3 0.1660 0.8340 0.5000  6 Se 3.61-3.63
Pb1 0.0000 0.0000 0.0000  6 Se 3.04
Se3 0.5985 0.9357 0.8069  2 Bi 3.00, 1 Pb 3.04
Se4 0.2728 0.2728 0.8070  2 Bi 3.00, 1 Pb 3.04
Se5 0.0643 0.4015 0.1931  2 Bi 3.00, 1 Pb 3.04
Bi2 0.6668 0.3332 0.0000  6 Se 3.00
Se6 0.9357 0.5985 0.8069  2 Bi 3.00, 1 Pb 3.04

(8)
Here is a relaxed structure of CsBiPbSe3 from Alexandria via LeMat-Bulk. Energies are from PBE.

Computed properties:
space-group type: No. 11
formation energy (no corrections): -0.666 eV per atom

Unit cell a=4.3275 b=9.3030 c=12.1353 alpha=109.67 beta=90.00 gamma=90.00
Closest atoms and distances in Å follow each position.
Fractional coordinates of all 12 atoms:
Se1 0.7500 0.4014 0.0999  3 Bi 2.88-2.97
Bi1 0.2500 0.6323 0.1446  6 Se 2.88-3.09
Se2 0.2500 0.1279 0.7956  1 Pb 2.80, 2 Bi 3.02
Pb1 0.2500 0.1517 0.5719  3 Se 2.80-2.85
Se3 0.2500 0.5986 0.9001  3 Bi 2.88-2.97
Se4 0.7500 0.8721 0.2044  1 Pb 2.80, 2 Bi 3.02
Bi2 0.7500 0.3677 0.8554  6 Se 2.88-3.09
Se5 0.2500 0.6398 0.4010  2 Pb 2.85, 1 Bi 3.09
Cs1 0.2500 0.2205 0.2573  5 Se 3.65-3.77, 1 Pb 4.08
Cs2 0.7500 0.7795 0.7427  5 Se 3.65-3.77, 1 Pb 4.08
Pb2 0.7500 0.8483 0.4281  3 Se 2.80-2.85
Se6 0.7500 0.3602 0.5990  2 Pb 2.85, 1 Bi 3.09

Sequential E output: -2.6756, -4.1282, -3.4861, -3.2846, -3.4585, -3.4658, -3.6444, -3.8150 eV/atom